CdH2Cl2O | GGA-PBE | relaxed

Cell lengths 6.1696, 6.1696, 6.8772 Å; angles 90.00, 90.00, 87.41 degrees
Last column: nearest neighbours and their distance in Å.
Sites, in units of the cell vectors:
Cd: 0.0000 0.0000 0.0000  2 O 2.51, 4 Cl 2.61
Cd: 0.0000 0.0000 0.5000  2 O 2.51, 4 Cl 2.61
H: 0.1926 0.6275 0.7500  1 O 0.99
H: 0.3725 0.8074 0.7500  1 O 0.99
H: 0.6275 0.1926 0.2500  1 O 0.99
H: 0.8074 0.3725 0.2500  1 O 0.99
Cl: 0.0946 0.2992 0.7500  1 H 2.14
Cl: 0.2992 0.0946 0.2500  1 H 2.14
Cl: 0.7008 0.9054 0.7500  1 H 2.14
Cl: 0.9054 0.7008 0.2500  1 H 2.14
O: 0.2139 0.7861 0.7500  2 H 0.99
O: 0.7861 0.2139 0.2500  2 H 0.99

E, eV per cell: -44.967
V, A^3/atom: 21.792
DOS at the Fermi energy, states/eV/f.u.: 0.000
Crystal system: orthorhombic
Magnetization, μB/atom: 0.000

CdH2ClO2 | GGA-PBE | relaxed

Cell lengths 6.4996, 4.3853, 6.5396 Å; angles 90.00, 111.41, 90.00 degrees
Last column: nearest neighbours and their distance in Å.
Sites, in units of the cell vectors:
Cd: 0.2460 0.2500 0.4448  4 O 2.40-2.44, 2 H 2.58-2.63
Cd: 0.7540 0.7500 0.5552  4 O 2.40-2.44, 2 H 2.58-2.63
H: 0.4149 0.7500 0.1936  2 O 1.19
H: 0.4955 0.2500 0.2065  2 O 1.19
H: 0.5045 0.7500 0.7935  2 O 1.19
H: 0.5851 0.2500 0.8064  2 O 1.19
Cl: 0.0047 0.2500 0.7127  3 Cd 2.70-2.75, 1 H 3.01
Cl: 0.9953 0.7500 0.2873  3 Cd 2.70-2.75, 1 H 3.01
O: 0.4678 0.0007 0.2623  2 H 1.19
O: 0.4678 0.4993 0.2623  2 H 1.19
O: 0.5322 0.5007 0.7377  2 H 1.19
O: 0.5322 0.9993 0.7377  2 H 1.19

E, eV per cell: -45.937
V, A^3/atom: 14.461
DOS at the Fermi energy, states/eV/f.u.: 1.801
Crystal system: monoclinic
Magnetization, μB/atom: 0.105

CdHClO | GGA-PBE | relaxed

Cell lengths 3.7281, 3.7281, 10.6734 Å; angles 90.00, 90.00, 120.00 degrees
Last column: nearest neighbours and their distance in Å.
Sites, in units of the cell vectors:
Cd: 0.3333 0.6667 0.0000  3 O 2.31
Cd: 0.6667 0.3333 0.5000  3 O 2.31
H: 0.0000 0.0000 0.1710  1 O 0.98
H: 0.0000 0.0000 0.6710  1 O 0.98
Cl: 0.3333 0.6667 0.3417  3 Cd 2.74, 3 H 2.82
Cl: 0.6667 0.3333 0.8417  3 Cd 2.74, 3 H 2.82
O: 0.0000 0.0000 0.0792  1 H 0.98
O: 0.0000 0.0000 0.5792  1 H 0.98

V, A^3/atom: 16.059
DOS at the Fermi energy, states/eV/f.u.: 0.000
Crystal system: hexagonal
Magnetization, μB/atom: 0.000
Energy relative to the lowest polymorph listed for this composition, meV/atom: 0

CdH3Cl3O | GGA-PBE | relaxed

Cell lengths 9.4427, 4.1981, 15.5811 Å; angles 90.00, 90.00, 90.00 degrees
Last column: nearest neighbours and their distance in Å.
Sites, in units of the cell vectors:
Cd: 0.2005 0.2500 0.0192  4 Cl 2.58-2.63
Cd: 0.2995 0.7500 0.5192  4 Cl 2.58-2.63
Cd: 0.7005 0.2500 0.4808  4 Cl 2.58-2.63
Cd: 0.7995 0.7500 0.9808  4 Cl 2.58-2.63
H: 0.0002 0.2500 0.7831  1 O 1.02
H: 0.9998 0.7500 0.2169  1 O 1.02
H: 0.0724 0.0576 0.7014  1 O 1.03
H: 0.0724 0.4424 0.7014  1 O 1.03
H: 0.4276 0.5576 0.2014  1 O 1.03
H: 0.4276 0.9424 0.2014  1 O 1.03
H: 0.5002 0.2500 0.7169  1 O 1.02
H: 0.4998 0.7500 0.2831  1 O 1.02
H: 0.5724 0.0576 0.7986  1 O 1.03
H: 0.5724 0.4424 0.7986  1 O 1.03
H: 0.9276 0.5576 0.2986  1 O 1.03
H: 0.9276 0.9424 0.2986  1 O 1.03
Cl: 0.0102 0.7500 0.0910  1 H 1.96
Cl: 0.1689 0.2500 0.4647  2 Cd 2.58
Cl: 0.2138 0.7500 0.6791  2 H 1.89
Cl: 0.2862 0.2500 0.1791  2 H 1.89
Cl: 0.3311 0.7500 0.9647  2 Cd 2.58
Cl: 0.4898 0.2500 0.5910  1 H 1.96
Cl: 0.5102 0.7500 0.4090  1 H 1.96
Cl: 0.6689 0.2500 0.0353  2 Cd 2.58
Cl: 0.7138 0.7500 0.8209  2 H 1.89
Cl: 0.7862 0.2500 0.3209  2 H 1.89
Cl: 0.8311 0.7500 0.5353  2 Cd 2.58
Cl: 0.9898 0.2500 0.9090  1 H 1.96
O: 0.0099 0.2500 0.7179  3 H 1.02-1.03
O: 0.4901 0.7500 0.2179  3 H 1.02-1.03
O: 0.5099 0.2500 0.7821  3 H 1.02-1.03
O: 0.9901 0.7500 0.2821  3 H 1.02-1.03

E, eV per cell: -116.377
V, A^3/atom: 19.302
DOS at the Fermi energy, states/eV/f.u.: 0.000
Crystal system: orthorhombic
Magnetization, μB/atom: 0.000